# Li2TaCd | the Alexandria database | GGA-PBE | relaxed
data_Li2TaCd
_space_group_name_H-M_alt 'P 4/m m m'
_space_group_IT_number 123
_space_group_name_Hall '-P 4 2'
_cell_length_a 4.714
_cell_length_b 4.714
_cell_length_c 2.955
_cell_angle_alpha 90.00
_cell_angle_beta 90.00
_cell_angle_gamma 90.00
loop_
_atom_site_label
_atom_site_type_symbol
_atom_site_fract_x
_atom_site_fract_y
_atom_site_fract_z
_atom_site_occupancy
Li1 Li 0.000 0.500 0.000 1
Ta1 Ta 0.000 0.000 0.500 1
Cd1 Cd 0.500 0.500 0.500 1
# * total energy: -3.6915 eV/atom
# * theoretical density: 7768 kg/m3

=====

# LiTaCd2 | the Alexandria database | GGA-PBE | relaxed
data_LiTaCd2
_space_group_name_H-M_alt 'P m m m'
_space_group_IT_number 47
_cell_length_a 2.812
_cell_length_b 4.233
_cell_length_c 6.354
_cell_angle_alpha 90.00
_cell_angle_beta 90.00
_cell_angle_gamma 90.00
loop_
_space_group_symop_operation_xyz
'x,y,z'
'-x,-y,-z'
'-x,-y,z'
'x,y,-z'
'x,-y,-z'
'-x,y,z'
'-x,y,-z'
'x,-y,z'
loop_
_atom_site_label
_atom_site_type_symbol
_atom_site_fract_x
_atom_site_fract_y
_atom_site_fract_z
_atom_site_occupancy
Li1 Li 0.000 0.000 0.000 1
Ta1 Ta 0.000 0.000 0.500 1
Cd1 Cd 0.500 0.500 0.242 1
# * total energy: -3.7077 eV/atom
# * energy relative to the lowest polymorph listed for this composition: 0.1216 eV per atom
# * theoretical density: 9062 kg/m3

=====

# Li2TaCd | the Alexandria database | GGA-PBE | relaxed
data_Li2TaCd
_space_group_name_H-M_alt 'C 1 2/m 1'
_space_group_IT_number 12
_cell_length_a 9.847
_cell_length_b 2.711
_cell_length_c 5.423
_cell_angle_alpha 90.00
_cell_angle_beta 95.93
_cell_angle_gamma 90.00
loop_
_space_group_symop_operation_xyz
'x,y,z'
'-x,-y,-z'
'-x,y,-z'
'x,-y,z'
'x+1/2,y+1/2,z'
'-x+1/2,-y+1/2,-z'
'-x+1/2,y+1/2,-z'
'x+1/2,-y+1/2,z'
loop_
_atom_site_label
_atom_site_type_symbol
_atom_site_fract_x
_atom_site_fract_y
_atom_site_fract_z
_atom_site_occupancy
Li1 Li 0.248 0.000 0.258 1
Ta1 Ta 0.000 0.000 0.500 1
Cd1 Cd 0.000 0.500 0.000 1
# * total energy: -3.8575 eV/atom
# * theoretical density: 7087 kg/m3

=====

# LiTa4Cd | the Alexandria database | GGA-PBE | relaxed
data_LiTa4Cd
_space_group_name_H-M_alt 'F -4 3 m'
_space_group_IT_number 216
_space_group_name_Hall 'F -4 2 3'
_cell_length_a 7.820
_cell_length_b 7.820
_cell_length_c 7.820
_cell_angle_alpha 90.00
_cell_angle_beta 90.00
_cell_angle_gamma 90.00
loop_
_atom_site_label
_atom_site_type_symbol
_atom_site_fract_x
_atom_site_fract_y
_atom_site_fract_z
_atom_site_occupancy
Li1 Li 0.000 0.000 0.000 1
Ta1 Ta 0.126 0.126 0.626 1
Cd1 Cd 0.250 0.250 0.250 1
# * total energy: -7.8066 eV/atom
# * theoretical density: 11712 kg/m3

=====

# LiTa2Cd | the Alexandria database | GGA-PBE | relaxed
data_LiTa2Cd
_space_group_name_H-M_alt 'P 4/m m m'
_space_group_IT_number 123
_space_group_name_Hall '-P 4 2'
_cell_length_a 2.805
_cell_length_b 2.805
_cell_length_c 8.973
_cell_angle_alpha 90.00
_cell_angle_beta 90.00
_cell_angle_gamma 90.00
loop_
_atom_site_label
_atom_site_type_symbol
_atom_site_fract_x
_atom_site_fract_y
_atom_site_fract_z
_atom_site_occupancy
Li1 Li 0.000 0.000 0.000 1
Ta1 Ta 0.500 0.500 0.232 1
Cd1 Cd 0.000 0.000 0.500 1
# * total energy: -6.1498 eV/atom
# * theoretical density: 11318 kg/m3

=====

# LiTaCd | the Alexandria database | GGA-PBE | relaxed
data_LiTaCd
_space_group_name_H-M_alt 'F m m 2'
_space_group_IT_number 42
_space_group_name_Hall 'F 2 -2'
_cell_length_a 3.113
_cell_length_b 4.661
_cell_length_c 15.267
_cell_angle_alpha 90.00
_cell_angle_beta 90.00
_cell_angle_gamma 90.00
loop_
_atom_site_label
_atom_site_type_symbol
_atom_site_fract_x
_atom_site_fract_y
_atom_site_fract_z
_atom_site_occupancy
Li1 Li 0.000 0.000 0.000 1
Ta1 Ta 0.000 0.000 0.334 1
Cd1 Cd 0.000 0.000 0.660 1
# * total energy: -4.6596 eV/atom
# * energy relative to the lowest polymorph listed for this composition: 0.1468 eV per atom
# * theoretical density: 9005 kg/m3

=====

Calculated formation energy from the elements, 0.457; 0.191; 0.291; 0.567; 0.484; 0.234 eV/atom (same order as the records).